# 1
The following is a DFT calculation (GGA-PBE) of crystalline PmPr2Ni at its relaxed geometry.

Structure (POSCAR):
```
PmPr2Ni
1.0
7.084 0.000 0.000
0.000 10.092 0.000
0.000 0.000 6.520
Pm Pr Ni
4 8 4
Direct
0.035 0.250 0.149 Pm
0.465 0.750 0.649 Pm
0.535 0.250 0.351 Pm
0.965 0.750 0.851 Pm
0.177 0.067 0.674 Pr
0.177 0.433 0.674 Pr
0.323 0.567 0.174 Pr
0.323 0.933 0.174 Pr
0.677 0.067 0.826 Pr
0.677 0.433 0.826 Pr
0.823 0.567 0.326 Pr
0.823 0.933 0.326 Pr
0.115 0.750 0.437 Ni
0.385 0.250 0.937 Ni
0.615 0.750 0.063 Ni
0.885 0.250 0.563 Ni
```

Properties
**Uncorrected energy**: -83.0 eV for the cell shown
**Magnetization**: 0.000 μB per atom
**DOS at the Fermi energy**: 1.08 states/eV/atom
**Calculated formation energy**: -0.163 eV per atom
**Energy above the most stable polymorph in this dataset**: 0.0 meV/atom



# 2
The following is a DFT calculation (GGA-PBE) of crystalline Sc12Co6Ni at its relaxed geometry.

Structure (POSCAR):
```
Sc12Co6Ni
1.0
-4.445 4.445 4.445
4.445 -4.445 4.445
4.445 4.445 -4.445
Sc Co Ni
12 6 1
Direct
0.097 0.292 0.805 Sc
0.195 0.488 0.292 Sc
0.195 0.903 0.708 Sc
0.292 0.195 0.488 Sc
0.292 0.805 0.097 Sc
0.488 0.292 0.195 Sc
0.512 0.708 0.805 Sc
0.708 0.195 0.903 Sc
0.708 0.805 0.512 Sc
0.805 0.097 0.292 Sc
0.805 0.512 0.708 Sc
0.903 0.708 0.195 Sc
0.121 0.500 0.621 Co
0.379 0.879 0.500 Co
0.500 0.379 0.879 Co
0.500 0.621 0.121 Co
0.621 0.121 0.500 Co
0.879 0.500 0.379 Co
0.000 0.000 0.000 Ni
```

Properties
**Uncorrected energy**: -129.0 eV for the cell shown
**Magnetization**: 0.000 μB per atom
**DOS at the Fermi energy**: 0.90 states/eV/atom
**Calculated formation energy**: -0.243 eV per atom